# 1
The following is a PBE calculation of a relaxed structure of Ho7Tm5, from the Alexandria database.

For the formation energy, the calculation gives 0.006 eV per atom. The value obtained for the total magnetization is 0.00 μB/atom.

It has space group C2/m (No. 12), with a = 18.269 Å, b = 3.514 Å, c = 12.880 Å, α = 90.00°, β = 118.23° and γ = 90.00°. The distinct sites, in fractional coordinates, are Ho at (0.000, 0.000, 0.000), Ho at (0.028, 0.500, 0.250), Ho at (0.139, 0.000, 0.750), Ho at (0.167, 0.000, 0.501), Tm at (0.000, 0.500, 0.500), Tm at (0.167, 0.500, 0.000) and Tm at (0.194, 0.000, 0.249).

=====

# 2
The following is a PBE calculation of a relaxed structure of Ho3Tm, from the Alexandria database.

For the formation energy, the calculation gives 0.023 eV per atom. The value obtained for the total magnetization is 0.00 μB/atom.

It has space group I4/mmm (No. 139), with a = 4.956 Å, b = 4.956 Å, c = 9.921 Å, α = 90.00°, β = 90.00° and γ = 90.00°. The distinct sites, in fractional coordinates, are Ho at (0.000, 0.000, 0.000), Ho at (0.000, 0.500, 0.250) and Tm at (0.000, 0.000, 0.500).

=====

# 3
The following is a PBE calculation of a relaxed structure of Ho3Tm, from the Alexandria database.

For the formation energy, the calculation gives 0.023 eV per atom. The value obtained for the total magnetization is 0.00 μB/atom.

It has space group Pm-3m (No. 221), with a = 4.960 Å, b = 4.960 Å, c = 4.960 Å, α = 90.00°, β = 90.00° and γ = 90.00°. The distinct sites, in fractional coordinates, are Ho at (0.000, 0.000, 0.500) and Tm at (0.500, 0.500, 0.500).